Record 1
The following is a PBE-GGA calculation of CaBi2B2O7 after structural relaxation, from Alexandria via LeMat-Bulk.

Cell lengths 9.003, 12.744, 5.592 Å; angles 90.00, 90.00, 90.00 degrees
Positions (direct):
Ca1 0.181 0.250 0.056
Ca2 0.319 0.750 0.556
Ca3 0.681 0.250 0.444
Ca4 0.819 0.750 0.944
Bi1 0.162 0.592 0.069
Bi2 0.162 0.908 0.069
Bi3 0.338 0.092 0.569
Bi4 0.338 0.408 0.569
Bi5 0.662 0.592 0.431
Bi6 0.662 0.908 0.431
Bi7 0.838 0.092 0.931
Bi8 0.838 0.408 0.931
B1 0.032 0.121 0.518
B2 0.032 0.379 0.518
B3 0.468 0.621 0.018
B4 0.468 0.879 0.018
B5 0.532 0.121 0.982
B6 0.532 0.379 0.982
B7 0.968 0.621 0.482
B8 0.968 0.879 0.482
O1 0.112 0.112 0.310
O2 0.112 0.388 0.310
O3 0.115 0.121 0.734
O4 0.115 0.379 0.734
O5 0.118 0.750 0.967
O6 0.120 0.626 0.462
O7 0.120 0.874 0.462
O8 0.380 0.126 0.962
O9 0.380 0.374 0.962
O10 0.382 0.250 0.467
O11 0.385 0.621 0.234
O12 0.385 0.879 0.234
O13 0.388 0.612 0.810
O14 0.388 0.888 0.810
O15 0.612 0.112 0.190
O16 0.612 0.388 0.190
O17 0.615 0.121 0.766
O18 0.615 0.379 0.766
O19 0.618 0.750 0.533
O20 0.620 0.626 0.038
O21 0.620 0.874 0.038
O22 0.880 0.126 0.538
O23 0.880 0.374 0.538
O24 0.882 0.250 0.033
O25 0.885 0.621 0.266
O26 0.885 0.879 0.266
O27 0.888 0.612 0.690
O28 0.888 0.888 0.690

Properties
* SG: Pnma
* raw formation energy: -2.1050 eV per atom
* E_tot: -6.92 eV/atom
* density of states at the Fermi level: 0.0 states/eV/f.u.

---

Record 2
The following is a PBE-GGA calculation of AlCu4Cl after structural relaxation, from Alexandria via LeMat-Bulk.

Cell lengths 5.009, 5.009, 5.009 Å; angles 60.00, 60.00, 60.00 degrees
Positions (direct):
Al1 0.000 0.000 0.000
Cu1 0.375 0.375 0.375
Cu2 0.375 0.375 0.876
Cu3 0.375 0.876 0.375
Cu4 0.876 0.375 0.375
Cl1 0.750 0.750 0.750

Properties
* SG: F-43m
* raw formation energy: 0.1606 eV per atom
* E_tot: -3.50 eV/atom
* density of states at the Fermi level: 0.7 states/eV/f.u.

---

Q: Among the records above, which one has the highest density of states at the Fermi level?
A: AlCu4Cl

---

Q: What is the density of states at the Fermi level in the second record?
A: 0.7 states/eV/f.u.